[1]
Below is a relaxed structure of LuGaCoTc, with properties calculated at the PBE-GGA level.

a b c (Å): 4.4383 4.4383 4.4383
angles (deg): 60.00 60.00 60.00
Each line ends with the local moment (μB).
Element x y z (fractional)
Co (0.7500, 0.7500, 0.7500)  0.15
Ga (0.0000, 0.0000, 0.0000)  -0.01
Lu (0.5000, 0.5000, 0.5000)  -0.01
Tc (0.2500, 0.2500, 0.2500)  0.10

Energy relative to the lowest polymorph listed for this composition: 0.0000 eV per atom
V: 15.46 A^3/atom



[2]
Below is a relaxed structure of LuGaCoTc, with properties calculated at the PBE-GGA level.

a b c (Å): 4.5250 4.5250 4.5250
angles (deg): 60.00 60.00 60.00
Each line ends with the local moment (μB).
Element x y z (fractional)
Co (0.7500, 0.7500, 0.7500)  1.74
Ga (0.0000, 0.0000, 0.0000)  -0.03
Lu (0.2500, 0.2500, 0.2500)  0.16
Tc (0.5000, 0.5000, 0.5000)  1.37

Energy relative to the lowest polymorph listed for this composition: 0.2010 eV per atom
V: 16.38 A^3/atom



[3]
Below is a relaxed structure of LuGaCoW, with properties calculated at the PBE-GGA level.

a b c (Å): 4.5444 4.5444 4.5444
angles (deg): 60.00 60.00 60.00
Element x y z (fractional)
Co (0.7500, 0.7500, 0.7500)
Ga (0.0000, 0.0000, 0.0000)
Lu (0.5000, 0.5000, 0.5000)
W (0.2500, 0.2500, 0.2500)

Energy relative to the lowest polymorph listed for this composition: 0.0000 eV per atom
V: 16.59 A^3/atom



[4]
Below is a relaxed structure of LuZnGaCo, with properties calculated at the PBE-GGA level.

a b c (Å): 4.4772 4.4772 4.4772
angles (deg): 60.00 60.00 60.00
Element x y z (fractional)
Co (0.7500, 0.7500, 0.7500)
Ga (0.0000, 0.0000, 0.0000)
Lu (0.5000, 0.5000, 0.5000)
Zn (0.2500, 0.2500, 0.2500)

Energy relative to the lowest polymorph listed for this composition: 0.0164 eV per atom
V: 15.87 A^3/atom



[5]
Below is a relaxed structure of LuZnGaCo, with properties calculated at the PBE-GGA level.

a b c (Å): 4.4692 4.4692 4.4692
angles (deg): 60.00 60.00 60.00
Element x y z (fractional)
Co (0.7500, 0.7500, 0.7500)
Ga (0.0000, 0.0000, 0.0000)
Lu (0.2500, 0.2500, 0.2500)
Zn (0.5000, 0.5000, 0.5000)

Energy relative to the lowest polymorph listed for this composition: 0.0000 eV per atom
V: 15.78 A^3/atom



[6]
Below is a relaxed structure of LuZrGaCo, with properties calculated at the PBE-GGA level.

a b c (Å): 4.6450 4.6450 4.6450
angles (deg): 60.00 60.00 60.00
Each line ends with the local moment (μB).
Element x y z (fractional)
Co (0.7500, 0.7500, 0.7500)  0.43
Ga (0.0000, 0.0000, 0.0000)  0.02
Lu (0.2500, 0.2500, 0.2500)  0.28
Zr (0.5000, 0.5000, 0.5000)  0.23

Energy relative to the lowest polymorph listed for this composition: 0.0000 eV per atom
V: 17.72 A^3/atom